PBE CaNb2Ni, optimized geometry; crystal system = cubic; uncorrected energy = -6.251 eV per atom
1.0
0.000 3.285 3.285
3.285 0.000 3.285
3.285 3.285 0.000
Ca Nb Ni
1 2 1
Cartesian
0.000 0.000 0.000
1.643 1.643 1.643
4.928 4.928 4.928
3.285 3.285 3.285

***

PBE LiGe6Ir5, optimized geometry; crystal system = monoclinic; uncorrected energy = -6.305 eV per atom
1.0
2.661 -5.503 0.000
2.661 5.503 0.000
-1.855 0.000 6.758
Li Ge Ir
1 6 5
Cartesian
0.000 0.000 0.000
1.012 2.186 2.015
0.278 0.000 5.367
1.012 -2.186 2.015
2.456 2.186 4.743
3.190 0.000 1.392
2.456 -2.186 4.743
1.734 4.192 3.379
2.661 2.040 0.000
1.734 0.000 3.379
2.661 -2.040 0.000
1.734 -4.192 3.379

***

PBE Cr2ReP, optimized geometry; crystal system = trigonal; uncorrected energy = -9.119 eV per atom
1.0
1.390 0.802 7.670
-1.390 0.802 7.670
0.000 -1.605 7.670
Cr Re P
2 1 1
Cartesian
0.000 0.000 0.000
0.000 0.000 5.900
0.000 0.000 11.449
0.000 0.000 17.171

***

PBE Na4NdSc3Te8, optimized geometry; crystal system = trigonal; uncorrected energy = -4.595 eV per atom; raw formation energy = -1.21 eV per atom
1.0
4.324 2.497 7.544
-4.324 2.497 7.544
0.000 -4.993 7.544
Na Nd Sc Te
4 1 3 8
Cartesian
0.000 0.000 0.000
-2.162 -1.248 7.544
-2.162 1.248 15.087
0.000 2.497 7.544
0.000 0.000 11.316
-4.324 0.000 11.316
-2.162 1.248 3.772
2.162 1.248 3.772
-2.269 -1.310 13.027
0.000 0.000 5.412
0.000 -2.620 9.604
-2.269 1.310 9.604
2.269 -1.310 13.027
0.000 2.620 13.027
0.000 0.000 17.219
2.269 1.310 9.604

***

Number 1: magnetic moment 0.00 μB per cell. Number 2: magnetic moment 0.00 μB per cell. Number 3: magnetic moment 0.00 μB per cell. Number 4: magnetic moment 0.00 μB per cell.